Computed, not measured: a relaxed structure of CuTe2Br at the PBE-GGA level of DFT.

Output
formation energy from raw total energies	0.241	eV per atom
density of states at the Fermi level	0.53	states/eV per atom
symmetry	P4mm, No. 99

a b c (Å): 3.3549 3.3549 9.0747
angles (deg): 90.00 90.00 90.00
Positions (direct):
Cu 0.5000 0.5000 0.7529
Te 0.5000 0.5000 0.2135
Te 0.0000 0.0000 0.9427
Br 0.0000 0.0000 0.5909


Computed, not measured: a relaxed structure of Ta2MoSe at the PBE-GGA level of DFT.

Output
formation energy from raw total energies	0.107	eV per atom
density of states at the Fermi level	0.80	states/eV per atom
symmetry	Cmm2, No. 35

a b c (Å): 2.9901 2.9901 8.5645
angles (deg): 90.00 90.00 112.66
Positions (direct):
Mo 0.0000 0.0000 0.5007
Ta 0.5000 0.5000 0.2569
Ta 0.0000 0.0000 0.9913
Se 0.5000 0.5000 0.7511


> What is the density of states at the Fermi level in the second record?

0.80 states/eV per atom


> Number 1 is which compound?

CuTe2Br


> What is the formula in the first record?

CuTe2Br